Below is a geometry-optimized Cs2YGeI6 structure, with properties calculated at the PBE-GGA level.

The calculation puts the formation energy without anion corrections at -1.083 eV/atom.

It has space group I4/mmm (No. 139), with a = 8.528 Å, b = 8.528 Å, c = 13.571 Å, α = 90.00°, β = 90.00° and γ = 90.00°. The distinct sites, in fractional coordinates, are Cs at (0.000, 0.500, 0.250), Y at (0.000, 0.000, 0.000), Ge at (0.000, 0.000, 0.500), I at (0.000, 0.000, 0.223) and I at (0.248, 0.248, 0.500).

***

Below is a geometry-optimized Cs2ZnGeI6 structure, with properties calculated at the PBE-GGA level.

The calculation puts the formation energy without anion corrections at -0.829 eV/atom.

It has space group Fm-3m (No. 225), with a = 11.799 Å, b = 11.799 Å, c = 11.799 Å, α = 90.00°, β = 90.00° and γ = 90.00°. The distinct sites, in fractional coordinates, are Cs at (0.250, 0.250, 0.250), Zn at (0.000, 0.000, 0.000), Ge at (0.000, 0.000, 0.500) and I at (0.000, 0.000, 0.246).

***

- Which value of formation energy without anion corrections does entry 2 give?
  -0.829 eV/atom